# Pm3PrSi2

An optimized crystal structure of Pm3PrSi2 (PBE, Alexandria).

Cell lengths 7.6697, 7.6697, 20.7172 Å; angles 90.00, 90.00, 120.00 degrees
Space group R-3c (No. 167, hexagonal axes)
Inequivalent atoms, fractional coordinates:
Pm (0.0000, 0.2734, 0.2500) x18
Pr (0.0000, 0.0000, 0.0000) x6
Si (0.0000, 0.0000, 0.1457) x12

Output
Calculated total energy (eV/f.u.): -31.0
Energy relative to the elements, uncorrected (eV/f.u.): -1.17

# PmPr2Si2

An optimized crystal structure of PmPr2Si2 (PBE, Alexandria).

Cell lengths 12.5469, 4.4246, 10.8897 Å; angles 90.00, 116.24, 90.00 degrees
Space group C2/m (No. 12)
Inequivalent atoms, fractional coordinates:
Pm (0.2220, 0.0000, 0.3616) x4
Pr (0.0147, 0.5000, 0.6881) x4
Pr (0.1792, 0.5000, 0.0880) x4
Si (0.0168, 0.0000, 0.8987) x4
Si (0.1069, 0.0000, 0.5543) x4

Output
Calculated total energy (eV/f.u.): -28.0
Offset from the most stable computed form (meV per atom): 66.7
Energy relative to the elements, uncorrected (eV/f.u.): -2.84

# Pm2PrSi6

An optimized crystal structure of Pm2PrSi6 (PBE, Alexandria).

Cell lengths 7.1640, 7.1640, 4.1519 Å; angles 90.00, 90.00, 120.00 degrees
Space group P6/mmm (No. 191)
Inequivalent atoms, fractional coordinates:
Pm (0.3333, 0.6667, 0.0000) x2
Pr (0.0000, 0.0000, 0.0000) x1
Si (0.0000, 0.3346, 0.5000) x6

Output
Calculated total energy (eV/f.u.): -52.0
Energy relative to the elements, uncorrected (eV/f.u.): -5.18